First-principles (PBEsol) data for a relaxed structure of BaAl4Se7, as listed in Alexandria via LeMat-Bulk.

Unit cell a=6.5022 b=7.6178 c=12.5537 alpha=89.83 beta=90.00 gamma=90.00
Atoms (fractional coordinates):
Se 0.0310 0.9883 0.1930
Se 0.1471 0.2725 0.9449
Se 0.0233 0.4800 0.1915
Se 0.3702 0.5373 0.4614
Se 0.4875 0.2243 0.6758
Se 0.8969 0.2140 0.4583
Se 0.4981 0.2093 0.2225
Se 0.5125 0.7243 0.1758
Se 0.6298 0.0373 0.9614
Se 0.9767 0.9800 0.6915
Se 0.5019 0.7093 0.7225
Se 0.8529 0.7725 0.4449
Se 0.1031 0.7140 0.9583
Se 0.9690 0.4883 0.6930
Al 0.1538 0.7343 0.7729
Al 0.0143 0.5024 0.4967
Al 0.1613 0.2342 0.7577
Al 0.3686 0.4878 0.2752
Al 0.6314 0.9878 0.7752
Al 0.8387 0.7342 0.2577
Al 0.8462 0.2343 0.2729
Al 0.9857 0.0024 0.9967
Ba 0.6453 0.4819 0.9524
Ba 0.3547 0.9819 0.4524

ΔE_f (raw): -24.60 kcal/mol of atoms


First-principles (PBEsol) data for a relaxed structure of BeReHg2, as listed in Alexandria via LeMat-Bulk.

Unit cell a=3.0361 b=3.3290 c=7.1989 alpha=103.37 beta=102.17 gamma=90.00
Atoms (fractional coordinates):
Be 0.5000 0.0000 0.0000
Hg 0.6725 0.6725 0.3450
Hg 0.3275 0.3275 0.6550
Re 0.0000 0.5000 0.0000

Calculated formation energy: 531 meV/atom


First-principles (PBEsol) data for a relaxed structure of K3YSi3O10, as listed in Alexandria via LeMat-Bulk.

Unit cell a=5.9082 b=12.8026 c=13.1674 alpha=90.00 beta=90.00 gamma=90.00
Each line ends with the local moment (μB).
Atoms (fractional coordinates):
O 0.1493 0.8743 0.5217  0.33
O 0.3138 0.3765 0.4712  0.01
O 0.1493 0.6257 0.5217  0.33
O 0.8507 0.1257 0.4783  0.33
O 0.0700 0.9660 0.3805  0.46
O 0.9300 0.0340 0.6195  0.46
O 0.3507 0.8743 0.0217  0.33
O 0.3342 0.7500 0.6888  0.03
O 0.9300 0.4660 0.6195  0.46
O 0.5635 0.6467 0.1971  0.06
O 0.6862 0.6235 0.5288  0.01
O 0.1862 0.1235 0.9712  0.01
O 0.8138 0.8765 0.0288  0.01
O 0.4300 0.5340 0.8805  0.46
O 0.4365 0.3533 0.8029  0.06
O 0.5635 0.8533 0.1971  0.06
O 0.8138 0.6235 0.0288  0.01
O 0.3138 0.1235 0.4712  0.01
O 0.9365 0.8533 0.6971  0.06
O 0.5657 0.2500 0.6408  0.00
O 0.6862 0.8765 0.5288  0.01
O 0.4343 0.7500 0.3592  0.00
O 0.0635 0.1467 0.3029  0.06
O 0.3507 0.6257 0.0217  0.33
O 0.1862 0.3765 0.9712  0.01
O 0.0700 0.5340 0.3805  0.46
O 0.0657 0.7500 0.8592  0.00
O 0.4300 0.9660 0.8805  0.46
O 0.8507 0.3743 0.4783  0.33
O 0.6493 0.3743 0.9783  0.33
O 0.6493 0.1257 0.9783  0.33
O 0.8342 0.2500 0.8112  0.03
O 0.9365 0.6467 0.6971  0.06
O 0.5700 0.4660 0.1195  0.46
O 0.6658 0.2500 0.3112  0.03
O 0.5700 0.0340 0.1195  0.46
O 0.4365 0.1467 0.8029  0.06
O 0.1658 0.7500 0.1888  0.03
O 0.9343 0.2500 0.1408  0.00
O 0.0635 0.3533 0.3029  0.06
Si 0.5808 0.5897 0.0834  -0.01
Si 0.0808 0.0897 0.4166  -0.01
Si 0.0808 0.4103 0.4166  -0.01
Si 0.4192 0.4103 0.9166  -0.01
Si 0.5837 0.2500 0.7627  0.00
Si 0.9192 0.5897 0.5834  -0.01
Si 0.4163 0.7500 0.2373  0.00
Si 0.9192 0.9103 0.5834  -0.01
Si 0.0837 0.7500 0.7373  0.00
Si 0.4192 0.0897 0.9166  -0.01
Si 0.5808 0.9103 0.0834  -0.01
Si 0.9163 0.2500 0.2627  0.00
K 0.9292 0.9825 0.8593  0.00
K 0.0708 0.4825 0.1407  0.00
K 0.5708 0.5175 0.3593  0.00
K 0.0570 0.2500 0.6355  0.00
K 0.4292 0.0175 0.6407  0.00
K 0.5708 0.9825 0.3593  0.00
K 0.5570 0.7500 0.8645  0.00
K 0.4430 0.2500 0.1355  0.00
K 0.0708 0.0175 0.1407  0.00
K 0.4292 0.4825 0.6407  0.00
K 0.9430 0.7500 0.3645  0.00
K 0.9292 0.5175 0.8593  0.00
Y 0.0679 0.7500 0.0261  0.01
Y 0.5679 0.2500 0.4739  0.01
Y 0.4321 0.7500 0.5261  0.01
Y 0.9321 0.2500 0.9739  0.01

ΔE_f (raw): -56.66 kcal/mol of atoms


First-principles (PBEsol) data for a relaxed structure of Ta2PtCl, as listed in Alexandria via LeMat-Bulk.

Unit cell a=2.8260 b=5.0148 c=5.0148 alpha=106.10 beta=99.49 gamma=99.49
Atoms (fractional coordinates):
Pt 0.5000 0.5000 0.5000
Ta 0.0000 0.5000 0.0000
Ta 0.0000 0.0000 0.5000
Cl 0.5000 0.0000 0.0000

Energy relative to the lowest polymorph listed for this composition: 284 meV/atom
ΔE_f (raw): 2.90 kcal/mol of atoms


First-principles (PBEsol) data for a relaxed structure of AgRhBr2, as listed in Alexandria via LeMat-Bulk.

Unit cell a=3.4443 b=4.5926 c=6.5724 alpha=110.45 beta=105.19 gamma=90.00
Atoms (fractional coordinates):
Ag 0.0000 0.5000 0.0000
Rh 0.5000 0.0000 0.0000
Br 0.1474 0.1474 0.2949
Br 0.8526 0.8526 0.7051

Energy relative to the lowest polymorph listed for this composition: 0 meV/atom
ΔE_f (raw): -0.83 kcal/mol of atoms


First-principles (PBEsol) data for a relaxed structure of SnTe2CN, as listed in Alexandria via LeMat-Bulk.

Unit cell a=3.8476 b=5.7101 c=5.7101 alpha=90.00 beta=90.00 gamma=90.00
Each line ends with the local moment (μB).
Atoms (fractional coordinates):
N 0.5000 0.0000 0.0000  -0.40
C 0.5000 0.5000 0.5000  0.64
Te 0.0000 0.5000 0.0000  -0.28
Te 0.0000 0.0000 0.5000  -0.28
Sn 0.0000 0.0000 0.0000  0.03

ΔE_f (raw): 49.58 kcal/mol of atoms


First-principles (PBEsol) data for a relaxed structure of Li2V3O6, as listed in Alexandria via LeMat-Bulk.

Unit cell a=4.8131 b=4.8160 c=5.1602 alpha=98.15 beta=97.99 gamma=119.89
Each line ends with the local moment (μB).
Atoms (fractional coordinates):
O 0.7468 0.7468 0.2617  -0.01
O 0.8982 0.5597 0.7084  0.01
O 0.0933 0.4385 0.2788  0.00
O 0.5594 0.8978 0.7084  0.01
O 0.2605 0.2596 0.7648  0.01
O 0.4388 0.0937 0.2808  0.01
Li 0.3380 0.6770 0.0003  0.00
Li 0.6767 0.3372 0.9997  0.00
V 0.1505 0.8667 0.4991  0.18
V 0.8681 0.1520 0.4982  0.15
V 0.4696 0.4710 0.4997  0.61

Energy relative to the lowest polymorph listed for this composition: 0 meV/atom
ΔE_f (raw): -54.22 kcal/mol of atoms


First-principles (PBEsol) data for a relaxed structure of LiZn2Au, as listed in Alexandria via LeMat-Bulk.

Unit cell a=3.1549 b=3.1549 c=5.7469 alpha=90.00 beta=90.00 gamma=90.00
Atoms (fractional coordinates):
Li 0.5000 0.5000 0.7490
Zn 0.5000 0.5000 0.2456
Zn 0.0000 0.0000 0.9942
Au 0.0000 0.0000 0.5112

Calculated formation energy: -263 meV/atom
Energy relative to the lowest polymorph listed for this composition: 112 meV/atom


First-principles (PBEsol) data for a relaxed structure of KMg2NiW, as listed in Alexandria via LeMat-Bulk.

Unit cell a=4.2061 b=4.7697 c=4.7697 alpha=90.00 beta=90.00 gamma=90.00
Each line ends with the local moment (μB).
Atoms (fractional coordinates):
W 0.5000 0.5000 0.5000  0.39
Ni 0.5000 0.0000 0.0000  0.07
K 0.0000 0.0000 0.0000  -0.01
Mg 0.0000 0.5000 0.0000  -0.01
Mg 0.0000 0.0000 0.5000  -0.01

Calculated formation energy: 2205 meV/atom


First-principles (PBEsol) data for a relaxed structure of SrEuIn2, as listed in Alexandria via LeMat-Bulk.

Unit cell a=5.5505 b=5.5505 c=5.5505 alpha=60.00 beta=60.00 gamma=60.00
Each line ends with the local moment (μB).
Atoms (fractional coordinates):
Eu 0.0000 0.0000 0.0000  6.81
Sr 0.5000 0.5000 0.5000  0.00
In 0.2500 0.2500 0.2500  0.00
In 0.7500 0.7500 0.7500  0.00

Calculated formation energy: -477 meV/atom


First-principles (PBEsol) data for a relaxed structure of LiAg, as listed in Alexandria via LeMat-Bulk.

Unit cell a=3.9964 b=3.9964 c=5.4071 alpha=90.00 beta=90.00 gamma=120.00
Atoms (fractional coordinates):
Li 0.6667 0.3333 0.7500
Li 0.3333 0.6667 0.2500
Ag 0.0000 0.0000 0.5000
Ag 0.0000 0.0000 0.0000

Calculated formation energy: 46 meV/atom


First-principles (PBEsol) data for a relaxed structure of K2SrP, as listed in Alexandria via LeMat-Bulk.

Unit cell a=5.6204 b=5.6563 c=5.6204 alpha=119.79 beta=90.00 gamma=119.79
Atoms (fractional coordinates):
K 0.7500 0.5000 0.2500
K 0.0000 0.0000 0.0000
P 0.5000 0.0000 0.5000
Sr 0.2500 0.5000 0.7500

Calculated formation energy: -51 meV/atom